DFT (PBE) results for CuTeBr3 after structural relaxation.

Values from the calculation:
V in Å³/cell: 300.5
Uncorrected formation energy in eV per atom: -0.191
Symmetry: No. 2
Crystal system: triclinic
Magnetic moment in μB/f.u.: 0.00
N(E_F) in states/eV per atom: 0.359

Unit cell a=3.723 b=9.072 c=10.420 alpha=118.82 beta=100.37 gamma=78.27
Positions (direct):
Cu 0.551 0.244 0.345
Cu 0.449 0.756 0.655
Br 0.030 0.753 0.817
Br 0.970 0.247 0.183
Br 0.124 0.276 0.521
Br 0.653 0.871 0.172
Br 0.347 0.129 0.828
Br 0.876 0.724 0.479
Te 0.790 0.568 0.145
Te 0.210 0.432 0.855

DFT (PBE) results for Ba2OsO6 after structural relaxation.

Values from the calculation:
V in Å³/cell: 335.9
Uncorrected formation energy in eV per atom: -1.798
Symmetry: No. 136
Crystal system: tetragonal
Magnetic moment in μB/f.u.: 0.00

Unit cell a=5.518 b=5.518 c=11.031 alpha=90.00 beta=90.00 gamma=90.00
Positions (direct):
Ba 0.500 0.500 0.832
Ba 0.500 0.500 0.168
Ba 0.000 0.000 0.332
Ba 0.000 0.000 0.668
Os 0.000 0.000 0.000
Os 0.500 0.500 0.500
O 0.168 0.832 0.877
O 0.168 0.832 0.123
O 0.332 0.332 0.623
O 0.238 0.238 0.000
O 0.762 0.762 0.000
O 0.262 0.738 0.500
O 0.668 0.668 0.377
O 0.738 0.262 0.500
O 0.832 0.168 0.123
O 0.668 0.668 0.623
O 0.832 0.168 0.877
O 0.332 0.332 0.377

DFT (PBE) results for AcPmGaAg after structural relaxation.

Values from the calculation:
V in Å³/cell: 112.9
Symmetry: No. 216
Formation energy in eV/atom: -0.359
Crystal system: cubic
Magnetic moment in μB/f.u.: 0.00
N(E_F) in states/eV per atom: 0.980

Unit cell a=5.425 b=5.425 c=5.425 alpha=60.00 beta=60.00 gamma=60.00
Positions (direct):
Ag 0.250 0.250 0.250
Ga 0.750 0.750 0.750
Pm 0.000 0.000 0.000
Ac 0.500 0.500 0.500

Question: The lowest V belongs to which entry?
Answer: AcPmGaAg

Question: What is the V in the third record?
Answer: 112.9 Å³/cell